# NdHo2Au4

An optimized crystal structure of NdHo2Au4 (PBE, Alexandria).

The structure in POSCAR format:
```
NdHo2Au4
1.0
-3.459 -1.005 -3.546
4.275 0.577 -4.333
-0.079 -5.861 1.739
Ho Au Nd
2 4 1
direct
0.000 0.784 0.216
0.000 0.216 0.784
0.500 0.000 0.500
0.000 0.284 0.284
0.000 0.716 0.716
0.500 0.500 0.000
0.500 0.500 0.500
```

energy of formation = -684 meV/atom
size of the total moment = 0.00 μB per formula unit